Compound: RbGeS3
Source: Alexandria via LeMat-Bulk
Functional: PBE
Structure: optimized geometry

Geometry as POSCAR:
```
RbGeS3
1.0
-4.288 7.844 1.377
-3.939 -3.401 -7.398
-0.635 -7.539 9.636
S Ge Rb
12 4 4
direct
0.072 0.555 0.390
0.928 0.445 0.610
0.374 0.165 0.602
0.445 0.928 0.110
0.555 0.072 0.890
0.835 0.626 0.898
0.165 0.374 0.102
0.943 0.060 0.167
0.626 0.835 0.398
0.940 0.057 0.333
0.060 0.943 0.667
0.057 0.940 0.833
0.935 0.648 0.773
0.065 0.352 0.227
0.648 0.935 0.273
0.352 0.065 0.727
0.611 0.389 0.250
0.806 0.194 0.750
0.389 0.611 0.750
0.194 0.806 0.250
```

Values from the calculation:
D(E_F) in states/eV per cell: 0.0
SG: C2/c (15)


Compound: Rb2GeS2
Source: Alexandria via LeMat-Bulk
Functional: PBE
Structure: optimized geometry

Geometry as POSCAR:
```
Rb2GeS2
1.0
-0.870 -7.416 1.480
3.975 -1.716 -6.260
4.244 0.038 2.684
Rb Ge S
4 2 4
direct
0.355 0.145 0.500
0.145 0.645 0.500
0.855 0.355 0.500
0.645 0.855 0.500
0.000 0.000 0.000
0.500 0.500 0.000
0.182 0.318 0.000
0.682 0.182 0.000
0.318 0.818 0.000
0.818 0.682 0.000
```

Values from the calculation:
D(E_F) in states/eV per cell: 4.2
SG: P4/mbm (127)
Energy relative to the lowest polymorph listed for this composition in eV per atom: 0.4070


Compound: Rb3Ge5S12
Source: Alexandria via LeMat-Bulk
Functional: PBE
Structure: optimized geometry

Geometry as POSCAR:
```
Rb3Ge5S12
1.0
13.683 0.000 0.000
-4.561 12.900 0.000
-4.561 -6.450 11.172
Ge Rb S
20 12 48
direct
0.375 0.250 0.125
0.500 0.500 0.000
0.875 0.625 0.750
0.125 0.375 0.250
0.000 0.500 0.000
0.750 0.625 0.375
0.500 0.000 0.000
0.000 0.000 0.500
0.000 0.500 0.500
0.875 0.250 0.625
0.750 0.125 0.875
0.000 0.000 0.000
0.500 0.000 0.500
0.500 0.500 0.500
0.625 0.875 0.250
0.250 0.875 0.125
0.125 0.750 0.375
0.625 0.750 0.875
0.375 0.125 0.750
0.250 0.375 0.625
0.250 0.125 0.375
0.875 0.750 0.125
0.625 0.250 0.375
0.750 0.375 0.125
0.250 0.625 0.875
0.875 0.125 0.250
0.750 0.875 0.625
0.375 0.625 0.250
0.375 0.750 0.625
0.125 0.250 0.875
0.125 0.875 0.750
0.625 0.375 0.750
0.186 0.094 0.697
0.604 0.012 0.197
0.604 0.592 0.906
0.092 0.906 0.104
0.988 0.592 0.186
0.303 0.406 0.814
0.686 0.197 0.594
0.408 0.012 0.314
0.906 0.814 0.803
0.686 0.488 0.592
0.197 0.512 0.604
0.104 0.697 0.512
0.094 0.908 0.396
0.594 0.896 0.408
0.814 0.906 0.303
0.303 0.896 0.988
0.908 0.094 0.896
0.406 0.104 0.592
0.896 0.303 0.488
0.092 0.186 0.488
0.396 0.988 0.803
0.592 0.988 0.686
0.012 0.408 0.814
0.314 0.803 0.406
0.594 0.697 0.686
0.186 0.092 0.988
0.488 0.803 0.896
0.814 0.908 0.012
0.197 0.686 0.094
0.408 0.396 0.594
0.094 0.186 0.197
0.803 0.488 0.396
0.697 0.594 0.186
0.512 0.197 0.104
0.906 0.092 0.604
0.803 0.314 0.906
0.488 0.686 0.092
0.314 0.512 0.408
0.396 0.408 0.094
0.104 0.406 0.092
0.012 0.604 0.697
0.988 0.396 0.303
0.697 0.104 0.012
0.896 0.594 0.908
0.406 0.303 0.314
0.512 0.314 0.908
0.592 0.604 0.406
0.908 0.814 0.512
```

Values from the calculation:
D(E_F) in states/eV per cell: 62.6
SG: Ia-3d (230)


Compound: RbGeS
Source: Alexandria via LeMat-Bulk
Functional: PBE
Structure: optimized geometry

Geometry as POSCAR:
```
RbGeS
1.0
4.548 0.000 0.000
-2.274 3.938 0.000
0.000 0.000 5.151
Ge S Rb
1 1 1
direct
0.667 0.333 0.167
0.000 0.000 0.167
0.333 0.667 0.667
```

Values from the calculation:
D(E_F) in states/eV per cell: 1.5
SG: P-6m2 (187)


Compound: Rb2GeS3
Source: Alexandria via LeMat-Bulk
Functional: PBE
Structure: optimized geometry

Geometry as POSCAR:
```
Rb2GeS3
1.0
6.895 0.000 0.258
3.448 7.073 0.129
-0.589 0.000 15.763
Rb S Ge
8 12 4
direct
0.944 0.611 0.854
0.142 0.216 0.565
0.858 0.784 0.435
0.445 0.611 0.646
0.555 0.389 0.354
0.642 0.216 0.935
0.358 0.784 0.065
0.056 0.389 0.146
0.841 0.818 0.056
0.902 0.697 0.650
0.566 0.868 0.250
0.341 0.818 0.444
0.401 0.697 0.850
0.159 0.182 0.944
0.434 0.132 0.750
0.599 0.303 0.150
0.067 0.867 0.250
0.933 0.133 0.750
0.098 0.303 0.350
0.659 0.182 0.556
0.751 0.999 0.169
0.750 0.001 0.669
0.250 0.999 0.331
0.249 0.001 0.831
```

Values from the calculation:
D(E_F) in states/eV per cell: 0.0
SG: C2/c (15)


Compound: Rb2GeS2
Source: Alexandria via LeMat-Bulk
Functional: PBE
Structure: optimized geometry

Geometry as POSCAR:
```
Rb2GeS2
1.0
-1.244 2.919 -5.846
5.996 -5.492 -0.233
-4.131 -5.608 -1.921
S Ge Rb
4 2 4
direct
0.162 0.324 0.681
0.597 0.194 0.227
0.838 0.676 0.319
0.403 0.806 0.773
0.741 0.483 0.102
0.259 0.517 0.898
0.640 0.280 0.664
0.360 0.720 0.336
0.071 0.141 0.238
0.929 0.859 0.762
```

Values from the calculation:
SG: C2/m (12)
Energy relative to the lowest polymorph listed for this composition in eV per atom: 0.0000


Compound: RbGe3S
Source: Alexandria via LeMat-Bulk
Functional: PBE
Structure: optimized geometry

Geometry as POSCAR:
```
RbGe3S
1.0
5.763 0.000 0.000
0.000 5.763 0.000
0.000 0.000 5.763
Ge Rb S
3 1 1
direct
0.500 0.000 0.000
0.000 0.500 0.000
0.000 0.000 0.500
0.000 0.000 0.000
0.500 0.500 0.500
```

Values from the calculation:
D(E_F) in states/eV per cell: 8.8
SG: Pm-3m (221)
Energy relative to the lowest polymorph listed for this composition in eV per atom: 1.5859


Compound: RbGeSbS3
Source: Alexandria via LeMat-Bulk
Functional: PBE
Structure: optimized geometry

Geometry as POSCAR:
```
RbGeSbS3
1.0
3.925 0.000 0.000
0.000 8.552 0.198
0.000 -3.942 10.430
S Sb Rb Ge
6 2 2 2
direct
0.250 0.584 0.884
0.750 0.416 0.116
0.250 0.098 0.765
0.250 0.673 0.403
0.750 0.327 0.597
0.750 0.902 0.235
0.250 0.642 0.155
0.750 0.358 0.845
0.750 0.754 0.711
0.250 0.246 0.289
0.750 0.874 0.433
0.250 0.126 0.567
```

Values from the calculation:
SG: P2_1/m (11)


Looking at formation energy from raw total energies for the records above, in order, we have -0.516, -0.427, -0.295, -0.329, -0.922, -0.834, 1.963, -0.543 eV per atom.